Sr2CuOs: relaxed, GGA-PBE.

Cell: 3.546 3.579 7.932 Å, 90.00 90.00 90.00°
Space group Pmmm (No. 47)
Symmetry-distinct sites (fractional):
Sr: 0.000 0.000 0.234 [2 per cell]
Cu: 0.500 0.500 0.500 [1 per cell]
Os: 0.500 0.500 0.000 [1 per cell]

- V (Å³/atom) = 25.17
- E (eV/cell) = -16.38